Density functional theory data (PBE-GGA) for crystalline AgSbRh2 at its relaxed geometry.

The structure in POSCAR format:
```
AgSbRh2
1.0
-2.0059 2.0059 4.1382
2.0059 -2.0059 4.1382
2.0059 2.0059 -4.1382
Rh Sb Ag
2 1 1
direct
0.2500 0.7500 0.5000
0.0000 0.0000 0.0000
0.5000 0.5000 0.0000
0.7500 0.2500 0.5000
```

Values from the calculation:
- distance to the lowest polymorph of the same formula (eV/atom) = 0.1999
- ΔE_f (raw) (eV/atom) = 0.04
- Fermi-level density of states (states/eV per atom) = 1.36
- symmetry = I-4m2

***

Density functional theory data (PBE-GGA) for crystalline Dy3Tm6Tc at its relaxed geometry.

The structure in POSCAR format:
```
Dy3Tm6Tc
1.0
5.1414 0.0000 -0.0001
0.0000 10.2318 0.0001
0.0003 0.0001 11.0801
Tc Dy Tm
2 6 12
direct
0.5000 0.5000 0.5000
0.0000 0.0000 0.0000
0.0000 0.3959 0.7896
0.0000 0.0000 0.5000
0.5000 0.8959 0.7104
0.5000 0.5000 0.0000
0.5000 0.1041 0.2896
0.0000 0.6041 0.2104
0.5000 0.1511 0.9485
0.0000 0.6511 0.5515
0.0000 0.2581 0.1198
0.0000 0.3489 0.4485
0.5000 0.2419 0.6198
0.0000 0.9171 0.2268
0.5000 0.5829 0.7268
0.5000 0.8489 0.0515
0.5000 0.4171 0.2732
0.0000 0.7419 0.8802
0.0000 0.0829 0.7732
0.5000 0.7581 0.3802
```

Values from the calculation:
- calculated total energy (eV/atom) = -5.033
- Fermi-level density of states (states/eV per atom) = 1.13
- symmetry = Pnnm

***

Density functional theory data (PBE-GGA) for crystalline LaTi2I at its relaxed geometry.

The structure in POSCAR format:
```
LaTi2I
1.0
3.5166 -3.3749 0.6975
2.7461 0.1141 4.0852
-0.5676 -3.4710 3.4457
Ti I La
2 1 1
direct
0.2500 0.2500 0.2500
0.7500 0.7500 0.7500
0.0000 0.0000 0.0000
0.5000 0.5000 0.5000
```

Values from the calculation:
- distance to the lowest polymorph of the same formula (eV/atom) = 0.0000
- ΔE_f (raw) (eV/atom) = 0.40
- Fermi-level density of states (states/eV per atom) = 0.83
- symmetry = Fm-3m

***

Density functional theory data (PBE-GGA) for crystalline LiBiAu2N at its relaxed geometry.

The structure in POSCAR format:
```
LiBiAu2N
1.0
-3.3221 -3.0106 3.2597
3.3846 -2.7287 0.9292
1.3715 3.1760 4.3310
N Au Bi Li
1 2 1 1
direct
0.0000 0.5000 0.0000
0.0000 0.0000 0.5000
0.5000 0.0000 0.0000
0.0000 0.0000 0.0000
0.5000 0.5000 0.5000
```

Values from the calculation:
- ΔE_f (raw) (eV/atom) = 0.84
- Fermi-level density of states (states/eV per atom) = 0.57
- symmetry = P4/mmm

***

Density functional theory data (PBE-GGA) for crystalline ReSbCl2 at its relaxed geometry.

The structure in POSCAR format:
```
ReSbCl2
1.0
3.1975 0.0024 0.0000
-1.7032 2.7062 0.0000
0.0000 0.0000 9.7948
Sb Cl Re
1 2 1
direct
0.5000 0.5000 0.7409
0.5000 0.5000 0.3031
0.0000 0.0000 0.9699
0.0000 0.0000 0.4861
```

Values from the calculation:
- distance to the lowest polymorph of the same formula (eV/atom) = 0.3910
- ΔE_f (raw) (eV/atom) = 0.40
- Fermi-level density of states (states/eV per atom) = 0.88
- symmetry = Cmm2

***

Density functional theory data (PBE-GGA) for crystalline V8Cr2Co at its relaxed geometry.

The structure in POSCAR format:
```
V8Cr2Co
1.0
-0.9691 3.1021 -2.5738
-6.2524 -1.0268 1.1165
3.6537 2.3154 4.7536
V Cr Co
8 2 1
direct
0.0480 0.7266 0.0960
0.3187 0.0845 0.6374
0.6813 0.9155 0.3626
0.8624 0.8117 0.7248
0.9520 0.2734 0.9040
0.4048 0.5444 0.8097
0.1376 0.1883 0.2752
0.5952 0.4556 0.1903
0.2264 0.6366 0.4528
0.7736 0.3634 0.5472
0.5000 0.0000 0.0000
```

Values from the calculation:
- calculated total energy (eV/atom) = -9.125
- Fermi-level density of states (states/eV per atom) = 0.91
- symmetry = C2/m

***

Density functional theory data (PBE-GGA) for crystalline Er3NiSe2 at its relaxed geometry.

The structure in POSCAR format:
```
Er3NiSe2
1.0
-2.5776 -2.1807 1.8562
3.8613 -4.2594 0.3580
1.3586 5.4913 4.3390
Er Ni Se
3 1 2
direct
0.3536 0.3536 0.7071
0.0000 0.0000 0.0000
0.6464 0.6464 0.2929
0.0000 0.5000 0.0000
0.6746 0.1746 0.3491
0.3254 0.8254 0.6509
```

Values from the calculation:
- ΔE_f (raw) (eV/atom) = -1.24
- Fermi-level density of states (states/eV per atom) = 1.00
- symmetry = Immm

***

Density functional theory data (PBE-GGA) for crystalline NaSr2Ni2 at its relaxed geometry.

The structure in POSCAR format:
```
NaSr2Ni2
1.0
5.7472 0.0000 0.0000
0.0000 5.7472 0.0000
2.8736 2.8736 4.2582
Sr Na Ni
2 1 2
direct
0.2500 0.7500 0.5000
0.7500 0.2500 0.5000
0.0000 0.0000 0.0000
0.3641 0.3641 0.2718
0.6359 0.6359 0.7282
```

Values from the calculation:
- distance to the lowest polymorph of the same formula (eV/atom) = 0.1647
- Fermi-level density of states (states/eV per atom) = 0.58
- symmetry = I4/mmm

***

Density functional theory data (PBE-GGA) for crystalline Cs2BeCl4 at its relaxed geometry.

The structure in POSCAR format:
```
Cs2BeCl4
1.0
-0.8571 5.7211 4.4525
1.8009 -5.7916 7.7884
12.4443 2.5993 -0.9445
Cl Cs Be
16 8 4
direct
0.0211 0.8218 0.6506
0.7500 0.4613 0.4018
0.9789 0.1782 0.3494
0.2500 0.8033 0.4270
0.0211 0.3218 0.8494
0.4789 0.8218 0.6506
0.2500 0.3033 0.0730
0.2500 0.0387 0.9018
0.9789 0.6782 0.1506
0.7500 0.6967 0.9270
0.5211 0.6782 0.1506
0.4789 0.3218 0.8494
0.5211 0.1782 0.3494
0.7500 0.1967 0.5730
0.2500 0.5387 0.5982
0.7500 0.9613 0.0982
0.2500 0.1476 0.6018
0.2500 0.9773 0.1749
0.7500 0.5227 0.6749
0.2500 0.6476 0.8982
0.2500 0.4773 0.3251
0.7500 0.0227 0.8251
0.7500 0.8524 0.3982
0.7500 0.3524 0.1018
0.7500 0.7559 0.0810
0.2500 0.2441 0.9190
0.2500 0.7441 0.5810
0.7500 0.2559 0.4190
```

Values from the calculation:
- distance to the lowest polymorph of the same formula (eV/atom) = 0.0000
- ΔE_f (raw) (eV/atom) = -1.84
- Fermi-level density of states (states/eV per atom) = 0.00
- symmetry = Pnma

***

Density functional theory data (PBE-GGA) for crystalline Ti2InBi at its relaxed geometry.

The structure in POSCAR format:
```
Ti2InBi
1.0
-3.0522 1.1761 -2.8385
1.4481 -2.9781 -2.7911
-7.1813 -7.7660 1.2005
Bi Ti In
2 4 2
direct
0.7500 0.2500 0.5000
0.0000 0.0000 0.0000
0.8750 0.8618 0.7500
0.1382 0.6250 0.2500
0.6118 0.1250 0.2500
0.3750 0.3882 0.7500
0.2500 0.7500 0.5000
0.5000 0.5000 0.0000
```

Values from the calculation:
- distance to the lowest polymorph of the same formula (eV/atom) = 0.3572
- Fermi-level density of states (states/eV per atom) = 1.18
- symmetry = I-42d

***

Density functional theory data (PBE-GGA) for crystalline Cs4Rb3MgF8 at its relaxed geometry.

The structure in POSCAR format:
```
Cs4Rb3MgF8
1.0
-3.9420 6.4796 3.0515
-4.0777 -4.9528 5.2493
8.1523 -0.1248 -0.1550
F Cs Rb Mg
8 4 3 1
direct
0.1876 0.3242 0.0060
0.7430 0.7288 0.4860
0.2570 0.2712 0.5140
0.8162 0.3222 0.6323
0.1838 0.6778 0.3677
0.8184 0.3242 0.0060
0.1816 0.6758 0.9940
0.8124 0.6758 0.9940
0.0000 0.0000 0.5000
0.5000 0.0000 0.5000
0.5000 0.0000 0.0000
0.0000 0.0000 0.0000
0.0000 0.5000 0.5000
0.5000 0.5000 0.5000
0.5000 0.5000 0.0000
0.0000 0.5000 0.0000
```

Values from the calculation:
- ΔE_f (raw) (eV/atom) = -2.55
- Fermi-level density of states (states/eV per atom) = 0.18
- symmetry = C2/m

***

Density functional theory data (PBE-GGA) for crystalline LiHgPt2 at its relaxed geometry.

The structure in POSCAR format:
```
LiHgPt2
1.0
4.0927 0.0000 0.0000
0.0000 2.8206 -0.0032
0.0000 2.7806 5.6586
Li Hg Pt
1 1 2
direct
0.5000 0.7301 0.7693
0.0000 0.4958 0.5052
0.5000 0.2675 0.2332
0.0000 0.0066 0.9923
```

Values from the calculation:
- calculated total energy (eV/atom) = -3.817
- Fermi-level density of states (states/eV per atom) = 0.63
- symmetry = Pm

***

Density functional theory data (PBE-GGA) for crystalline DyCu2Ni at its relaxed geometry.

The structure in POSCAR format:
```
DyCu2Ni
1.0
4.2812 0.0000 0.0370
0.0000 5.0202 0.0000
-0.0283 -2.5101 3.1589
Dy Ni Cu
1 1 2
direct
0.5000 0.5000 0.0000
0.5000 0.0000 0.0000
0.0004 0.1873 0.3746
0.9996 0.8127 0.6254
```

Values from the calculation:
- calculated total energy (eV/atom) = -4.669
- Fermi-level density of states (states/eV per atom) = 0.62
- symmetry = Cmmm

***

Density functional theory data (PBE-GGA) for crystalline Ac3CoSn3 at its relaxed geometry.

The structure in POSCAR format:
```
Ac3CoSn3
1.0
5.4369 0.0000 0.0000
0.0000 11.9145 1.9402
0.0000 -3.2239 6.3450
Ac Sn Co
6 6 2
direct
0.7500 0.3920 0.0705
0.7500 0.7330 0.4776
0.2500 0.6080 0.9295
0.2500 0.1218 0.9317
0.2500 0.2670 0.5224
0.7500 0.8782 0.0683
0.2500 0.8334 0.7569
0.2500 0.5159 0.3677
0.7500 0.4841 0.6323
0.7500 0.0531 0.5951
0.7500 0.1666 0.2431
0.2500 0.9469 0.4049
0.2500 0.7265 0.3566
0.7500 0.2735 0.6434
```

Values from the calculation:
- calculated total energy (eV/atom) = -4.883
- Fermi-level density of states (states/eV per atom) = 0.73
- symmetry = P2_1/m

***

Density functional theory data (PBE-GGA) for crystalline CsKAgF3 at its relaxed geometry.

The structure in POSCAR format:
```
CsKAgF3
1.0
-2.7682 -5.8246 2.8384
6.5805 1.9255 1.6235
-2.5431 3.9493 5.6240
Ag Cs F K
2 2 6 2
direct
0.6667 0.3333 0.7500
0.3333 0.6667 0.2500
0.3333 0.6667 0.7500
0.6667 0.3333 0.2500
0.1543 0.3085 0.2500
0.3085 0.1543 0.7500
0.6915 0.8457 0.2500
0.1543 0.8457 0.2500
0.8457 0.6915 0.7500
0.8457 0.1543 0.7500
0.0000 0.0000 0.5000
0.0000 0.0000 0.0000
```

Values from the calculation:
- ΔE_f (raw) (eV/atom) = -2.04
- Fermi-level density of states (states/eV per atom) = 0.00
- symmetry = P6_3/mmc

***

Density functional theory data (PBE-GGA) for crystalline GaRuRh3 at its relaxed geometry.

The structure in POSCAR format:
```
GaRuRh3
1.0
4.4938 0.0000 0.0000
0.0000 4.4938 0.0000
0.0000 0.0000 4.4938
Rh Ga Ru
3 1 1
direct
0.5000 0.0000 0.0000
0.0000 0.5000 0.0000
0.0000 0.0000 0.5000
0.0000 0.0000 0.0000
0.5000 0.5000 0.5000
```

Values from the calculation:
- distance to the lowest polymorph of the same formula (eV/atom) = 0.0000
- Fermi-level density of states (states/eV per atom) = 1.07
- symmetry = Pm-3m

***

Density functional theory data (PBE-GGA) for crystalline ScCoRu2 at its relaxed geometry.

The structure in POSCAR format:
```
ScCoRu2
1.0
-2.2637 -0.9278 4.0185
2.9997 -2.0765 2.9705
0.3632 3.9591 -2.5154
Ru Co Sc
2 1 1
direct
0.0000 0.0000 0.0000
0.2500 0.7500 0.5000
0.7500 0.2500 0.5000
0.5000 0.5000 0.0000
```

Values from the calculation:
- distance to the lowest polymorph of the same formula (eV/atom) = 0.0279
- Fermi-level density of states (states/eV per atom) = 1.60
- symmetry = I-4m2

***

Density functional theory data (PBE-GGA) for crystalline AcPr2Zr at its relaxed geometry.

The structure in POSCAR format:
```
AcPr2Zr
1.0
4.1173 0.0000 0.0000
0.0000 4.1173 0.0000
0.0000 0.0000 8.0575
Pr Zr Ac
2 1 1
direct
0.0000 0.0000 0.2044
0.0000 0.0000 0.7956
0.5000 0.5000 0.0000
0.5000 0.5000 0.5000
```

Values from the calculation:
- distance to the lowest polymorph of the same formula (eV/atom) = 0.0075
- Fermi-level density of states (states/eV per atom) = 1.59
- symmetry = P4/mmm

***

Density functional theory data (PBE-GGA) for crystalline BaLaHfPt2 at its relaxed geometry.

The structure in POSCAR format:
```
BaLaHfPt2
1.0
5.1716 0.0000 0.0000
0.0000 5.4608 0.0000
0.0000 0.0000 5.1716
Ba Pt La Hf
1 2 1 1
direct
0.5000 0.5000 0.5000
0.5000 0.0000 0.0000
0.0000 0.0000 0.5000
0.0000 0.5000 0.0000
0.0000 0.0000 0.0000
```

Values from the calculation:
- calculated total energy (eV/atom) = -5.836
- Fermi-level density of states (states/eV per atom) = 0.85
- symmetry = P4/mmm

***

Density functional theory data (PBE-GGA) for crystalline NbZnAgPt at its relaxed geometry.

The structure in POSCAR format:
```
NbZnAgPt
1.0
4.5324 0.0000 0.0000
2.2662 3.9252 0.0000
2.2662 1.3084 3.7007
Zn Pt Nb Ag
1 1 1 1
direct
0.0000 0.0000 0.0000
0.2500 0.2500 0.2500
0.5000 0.5000 0.5000
0.7500 0.7500 0.7500
```

Values from the calculation:
- calculated total energy (eV/atom) = -5.231
- Fermi-level density of states (states/eV per atom) = 0.30
- symmetry = F-43m

***

Number 1: theoretical density 10.9 g/cm3. Number 2: theoretical density 9.1 g/cm3. Number 3: theoretical density 7.1 g/cm3. Number 4: theoretical density 7.6 g/cm3. Number 5: theoretical density 7.4 g/cm3. Number 6: theoretical density 6.8 g/cm3. Number 7: theoretical density 8.6 g/cm3. Number 8: theoretical density 3.7 g/cm3. Number 9: theoretical density 3.0 g/cm3. Number 10: theoretical density 7.3 g/cm3. Number 11: theoretical density 4.1 g/cm3. Number 12: theoretical density 15.2 g/cm3. Number 13: theoretical density 8.5 g/cm3. Number 14: theoretical density 8.2 g/cm3. Number 15: theoretical density 3.6 g/cm3. Number 16: theoretical density 8.8 g/cm3. Number 17: theoretical density 8.8 g/cm3. Number 18: theoretical density 7.3 g/cm3. Number 19: theoretical density 9.6 g/cm3. Number 20: theoretical density 11.6 g/cm3.